A plane-wave DFT calculation with PBE-GGA was carried out for crystalline Nb2NiGe2 at its relaxed geometry.

Results
As for the calculated density: 8.263 g cm⁻³. The value obtained for the total energy is -36.59 eV per formula unit. The formation energy is -138 kJ/mol of formula units. The value obtained for the size of the total moment is 0.00 μB per atom.

Lattice parameters (Å, degrees): 6.257 6.257 4.001 90.00 90.00 90.00
Fractional positions:
Ge 0.860 0.640 0.000
Nb 0.329 0.171 0.500
Ni 0.000 0.000 0.000
Ge 0.640 0.140 0.000
Nb 0.671 0.829 0.500
Nb 0.171 0.671 0.500
Ge 0.140 0.360 0.000
Ni 0.500 0.500 0.000
Ge 0.360 0.860 0.000
Nb 0.829 0.329 0.500